Entry 1:
First-principles (PBE) data for CaCeAg2Br8 after structural relaxation, as listed in Alexandria via LeMat-Bulk.

The structure in extended XYZ format:
```
12
Lattice="-6.7075 1.2448 -1.7891 -1.3084 -5.4383 3.7446 -0.9137 4.9263 6.8432" Properties=species:S:1:pos:R:3 pbc="T T T"
Ca -0.4569 2.4631 3.4216
Ce 0.0000 0.0000 0.0000
Ag -4.6864 1.5653 6.0608
Ag -4.2432 -0.8326 2.7380
Br -2.2845 -2.8475 4.2698
Br -5.4231 -3.1126 1.5217
Br -6.1686 1.0171 0.9672
Br -6.6452 3.5802 4.5290
Br -3.5065 3.8453 7.2770
Br -2.7610 -0.2844 7.8315
Br -5.8364 -0.6959 4.9842
Br -3.0932 1.4286 3.8145
```

Summary:
The total DFT energy (no corrections) comes out at -3.5000 eV/atom. The space group is No. 10. The value obtained for the density is 4.3 g/cm3. As for the formation energy without anion corrections: -1248 meV/atom.

***

Entry 2:
First-principles (PBE) data for CaAgBrCl2 after structural relaxation, as listed in Alexandria via LeMat-Bulk.

The structure in extended XYZ format:
```
10
Lattice="4.4328 0.0000 0.0000 0.0000 7.6659 0.6204 0.0000 -2.1133 9.4428" Properties=species:S:1:pos:R:3 pbc="T T T"
Ca 1.1082 1.8501 0.7393
Ca 3.3246 3.7025 9.3239
Ag 1.1082 2.5205 5.9264
Ag 3.3246 3.0321 4.1369
Br 1.1082 6.5870 1.6989
Br 3.3246 -1.0344 8.3643
Cl 3.3246 4.1377 6.4182
Cl 1.1082 1.4148 3.6450
Cl 3.3246 3.4663 1.5982
Cl 1.1082 2.0862 8.4651
```

Summary:
The total DFT energy (no corrections) comes out at -3.5012 eV/atom. The space group is No. 11. The value obtained for the density is 3.0 g/cm3. As for the formation energy without anion corrections: -1457 meV/atom.

***

Entry 3:
First-principles (PBE) data for Cs3CaAg2Br9 after structural relaxation, as listed in Alexandria via LeMat-Bulk.

The structure in extended XYZ format:
```
15
Lattice="-0.2445 -7.2065 -3.1939 1.2807 0.8432 7.7358 -9.5742 -0.3968 1.6283" Properties=species:S:1:pos:R:3 pbc="T T T"
Cs -5.5956 -2.1039 5.1756
Cs 0.0000 0.0000 0.0000
Cs -2.9425 -4.6561 0.9947
Ca -4.7871 -0.1984 0.8142
Ag -0.7331 -1.9024 4.3486
Ag -7.8050 -4.8577 1.8217
Br -6.4460 -6.1084 -0.2406
Br -5.8173 -5.6944 3.5574
Br -6.3260 -2.5703 1.3275
Br -2.2121 -4.1898 4.8428
Br -2.7208 -1.0657 2.6129
Br -2.0920 -0.6517 6.4108
Br -0.1223 -3.6033 -1.5969
Br 0.6403 0.4216 3.8679
Br 0.5181 -3.1816 2.2710
```

Summary:
The total DFT energy (no corrections) comes out at -2.9107 eV/atom. The space group is No. 164. The value obtained for the density is 4.4 g/cm3. As for the formation energy without anion corrections: -1223 meV/atom.